PtAu2Se: optimized geometry, GGA-PBE.

Summary:
Formation energy (no corrections) ... 0.090 eV per atom
Fermi-level density of states ... 0.568 states/eV/atom

Structure (CIF):
```
data_PtAu2Se
_cell_length_a 2.851
_cell_length_b 5.025
_cell_length_c 5.206
_cell_angle_alpha 90.00
_cell_angle_beta 90.00
_cell_angle_gamma 90.00
_symmetry_space_group_name_H-M 'P m m 2'
_symmetry_Int_Tables_number 25
_symmetry_space_group_name_Hall 'P 2 -2'
loop_
_atom_site_label
_atom_site_type_symbol
_atom_site_fract_x
_atom_site_fract_y
_atom_site_fract_z
Pt1 Pt 0.000 0.000 0.000
Au1 Au 0.000 0.500 0.549
Au2 Au 0.500 0.000 0.503
Se1 Se 0.000 0.500 0.049
```

La2RePt: optimized geometry, GGA-PBE.

Summary:
Energy above the most stable polymorph in this dataset ... 326 meV per atom
Formation enthalpy at 0 K ... 0.0784 eV/atom
Fermi-level density of states ... 1.204 states/eV/atom

Structure (CIF):
```
data_La2RePt
_cell_length_a 7.016
_cell_length_b 7.016
_cell_length_c 7.016
_cell_angle_alpha 90.00
_cell_angle_beta 90.00
_cell_angle_gamma 90.00
_symmetry_space_group_name_H-M 'F -4 3 m'
_symmetry_Int_Tables_number 216
_symmetry_space_group_name_Hall 'F -4 2 3'
loop_
_atom_site_label
_atom_site_type_symbol
_atom_site_fract_x
_atom_site_fract_y
_atom_site_fract_z
La1 La 0.000 0.000 0.000
La2 La 0.250 0.250 0.250
Re1 Re 0.250 0.250 0.750
Pt1 Pt 0.000 0.000 0.500
```

Ac5PmIn3: optimized geometry, GGA-PBE.

Summary:
Formation enthalpy at 0 K ... -0.2601 eV/atom
Fermi-level density of states ... 1.132 states/eV/atom

Structure (CIF):
```
data_Ac5PmIn3
_cell_length_a 10.1286
_cell_length_b 10.1286
_cell_length_c 7.3817
_cell_angle_alpha 90.00
_cell_angle_beta 90.00
_cell_angle_gamma 120.00
_symmetry_space_group_name_H-M 'P 63/m c m'
_symmetry_Int_Tables_number 193
_symmetry_space_group_name_Hall '-P 6c 2'
loop_
_atom_site_label
_atom_site_type_symbol
_atom_site_fract_x
_atom_site_fract_y
_atom_site_fract_z
Ac1 Ac 0.0000 0.3254 0.2500
Ac2 Ac 0.3333 0.6667 0.0000
Pm1 Pm 0.0000 0.0000 0.0000
In1 In 0.0000 0.3359 0.7500
```